*w*
Below is an optimized crystal structure of CdH2SO5, with properties calculated at the PBE level.

Geometry as POSCAR:
```
CdH2SO5
1.0
3.550 -3.829 0.000
3.550 3.829 0.000
-3.528 0.000 6.947
Cd H S O
2 4 2 10
direct
0.000 0.000 0.000
0.000 0.000 0.500
0.103 0.638 0.712
0.362 0.897 0.788
0.638 0.103 0.212
0.897 0.362 0.288
0.357 0.643 0.250
0.643 0.357 0.750
0.119 0.637 0.319
0.160 0.840 0.750
0.316 0.384 0.091
0.363 0.881 0.181
0.384 0.316 0.591
0.616 0.684 0.409
0.637 0.119 0.819
0.684 0.616 0.909
0.840 0.160 0.250
0.881 0.363 0.681
```



*x*
Below is an optimized crystal structure of CdH2SO5, with properties calculated at the PBE level.

Geometry as POSCAR:
```
CdH2SO5
1.0
7.537 0.000 0.000
0.000 7.383 0.000
-4.207 0.000 6.807
Cd H S O
4 8 4 20
direct
0.214 0.240 0.260
0.214 0.260 0.760
0.786 0.740 0.240
0.786 0.760 0.740
0.207 0.525 0.018
0.207 0.975 0.518
0.431 0.069 0.629
0.431 0.431 0.129
0.569 0.569 0.871
0.569 0.931 0.371
0.793 0.025 0.482
0.793 0.475 0.982
0.257 0.621 0.514
0.257 0.879 0.014
0.743 0.121 0.986
0.743 0.379 0.486
0.119 0.729 0.008
0.119 0.771 0.508
0.121 0.503 0.343
0.121 0.997 0.843
0.277 0.097 0.542
0.277 0.403 0.042
0.337 0.515 0.700
0.337 0.985 0.200
0.434 0.697 0.508
0.434 0.803 0.008
0.566 0.197 0.992
0.566 0.303 0.492
0.663 0.015 0.800
0.663 0.485 0.300
0.723 0.597 0.958
0.723 0.903 0.458
0.879 0.003 0.157
0.879 0.497 0.657
0.881 0.229 0.492
0.881 0.271 0.992
```



What should be chosen as the most stable of them? Choose *x*.



*w*
Below is an optimized crystal structure of LiHfCd, with properties calculated at the PBE level.

Geometry as POSCAR:
```
LiHfCd
1.0
0.000 3.272 3.272
3.272 0.000 3.272
3.272 3.272 0.000
Li Hf Cd
1 1 1
direct
0.000 0.000 0.000
0.750 0.750 0.750
0.500 0.500 0.500
```



*x*
Below is an optimized crystal structure of LiHfCd, with properties calculated at the PBE level.

Geometry as POSCAR:
```
LiHfCd
1.0
0.000 3.237 3.237
3.237 0.000 3.237
3.237 3.237 0.000
Li Hf Cd
1 1 1
direct
0.000 0.000 0.000
0.500 0.500 0.500
0.750 0.750 0.750
```



What should be chosen as the most stable of them? Choose *x*.



*w*
Below is an optimized crystal structure of Hf31CdO64, with properties calculated at the PBE level.

Geometry as POSCAR:
```
Hf31CdO64
1.0
10.205 0.000 0.000
0.000 10.357 0.000
1.726 0.002 10.374
Hf Cd O
31 1 64
direct
0.000 0.000 0.000
0.000 0.001 0.501
0.001 0.292 0.251
0.001 0.792 0.750
0.002 0.501 0.000
0.002 0.793 0.250
0.279 0.251 0.042
0.279 0.544 0.792
0.279 0.750 0.043
0.279 0.750 0.541
0.280 0.043 0.293
0.280 0.541 0.292
0.281 0.041 0.792
0.498 0.004 0.500
0.499 0.292 0.749
0.500 0.793 0.749
0.501 0.001 0.001
0.501 0.291 0.251
0.501 0.500 0.000
0.501 0.793 0.251
0.502 0.500 0.500
0.777 0.042 0.793
0.777 0.543 0.793
0.777 0.752 0.543
0.778 0.042 0.293
0.778 0.250 0.044
0.778 0.751 0.043
0.779 0.251 0.543
0.779 0.542 0.292
0.997 0.293 0.754
0.999 0.504 0.498
0.273 0.258 0.544
0.082 0.348 0.568
0.101 0.848 0.564
0.103 0.352 0.065
0.103 0.442 0.815
0.103 0.941 0.314
0.104 0.441 0.315
0.104 0.939 0.816
0.105 0.853 0.066
0.170 0.191 0.745
0.175 0.102 0.977
0.175 0.603 0.978
0.175 0.691 0.727
0.176 0.191 0.228
0.176 0.692 0.228
0.177 0.598 0.478
0.178 0.087 0.479
0.361 0.899 0.655
0.362 0.892 0.906
0.363 0.393 0.906
0.363 0.400 0.154
0.364 0.890 0.405
0.364 0.901 0.156
0.370 0.409 0.659
0.371 0.398 0.399
0.416 0.143 0.135
0.416 0.151 0.889
0.416 0.651 0.887
0.417 0.642 0.137
0.417 0.646 0.636
0.417 0.651 0.386
0.423 0.137 0.644
0.426 0.143 0.378
0.603 0.854 0.566
0.603 0.941 0.816
0.604 0.353 0.066
0.604 0.440 0.817
0.604 0.853 0.066
0.606 0.352 0.566
0.607 0.938 0.316
0.608 0.438 0.316
0.674 0.691 0.727
0.675 0.102 0.978
0.675 0.603 0.977
0.675 0.689 0.226
0.676 0.191 0.728
0.676 0.603 0.476
0.677 0.102 0.477
0.677 0.190 0.227
0.858 0.401 0.658
0.862 0.393 0.907
0.862 0.892 0.906
0.862 0.900 0.657
0.863 0.393 0.406
0.863 0.892 0.406
0.864 0.401 0.156
0.864 0.900 0.155
0.914 0.150 0.889
0.915 0.141 0.639
0.915 0.643 0.637
0.916 0.651 0.887
0.916 0.652 0.386
0.917 0.142 0.137
0.917 0.151 0.387
0.917 0.643 0.136
```



*x*
Below is an optimized crystal structure of Hf31CdO64, with properties calculated at the PBE level.

Geometry as POSCAR:
```
Hf31CdO64
1.0
10.044 0.000 0.000
0.009 10.099 0.000
0.004 0.003 10.454
Hf Cd O
31 1 64
direct
0.000 0.000 0.000
0.000 0.000 0.501
0.000 0.252 0.284
0.001 0.250 0.783
0.228 0.250 0.034
0.230 0.749 0.035
0.230 0.997 0.749
0.232 0.502 0.252
0.233 0.001 0.251
0.233 0.250 0.533
0.233 0.502 0.752
0.233 0.749 0.533
0.500 0.751 0.285
0.500 0.754 0.785
0.501 0.000 0.004
0.501 0.002 0.501
0.501 0.501 0.502
0.502 0.251 0.284
0.503 0.502 0.001
0.730 0.499 0.752
0.732 0.002 0.751
0.732 0.252 0.534
0.732 0.254 0.034
0.732 0.501 0.252
0.733 0.001 0.251
0.733 0.751 0.034
0.733 0.751 0.535
0.998 0.749 0.784
0.999 0.500 0.001
0.999 0.501 0.502
0.999 0.751 0.284
0.493 0.243 0.785
0.095 0.124 0.648
0.095 0.125 0.150
0.095 0.374 0.634
0.095 0.874 0.634
0.096 0.376 0.136
0.096 0.625 0.651
0.096 0.626 0.151
0.096 0.876 0.135
0.135 0.624 0.902
0.136 0.125 0.399
0.136 0.375 0.885
0.136 0.625 0.401
0.136 0.873 0.885
0.137 0.875 0.384
0.138 0.375 0.384
0.139 0.124 0.899
0.317 0.322 0.700
0.328 0.815 0.701
0.331 0.070 0.585
0.331 0.321 0.201
0.331 0.570 0.584
0.331 0.821 0.201
0.332 0.072 0.085
0.332 0.572 0.086
0.398 0.326 0.962
0.401 0.071 0.335
0.401 0.572 0.334
0.402 0.321 0.451
0.402 0.572 0.835
0.402 0.821 0.452
0.403 0.040 0.836
0.403 0.817 0.955
0.594 0.376 0.138
0.595 0.628 0.652
0.595 0.876 0.636
0.596 0.875 0.136
0.597 0.126 0.151
0.597 0.626 0.151
0.601 0.123 0.644
0.605 0.382 0.627
0.636 0.628 0.900
0.637 0.126 0.399
0.637 0.375 0.383
0.637 0.626 0.401
0.637 0.876 0.385
0.639 0.875 0.887
0.642 0.121 0.904
0.647 0.382 0.895
0.831 0.069 0.084
0.831 0.570 0.084
0.831 0.821 0.201
0.831 0.821 0.701
0.832 0.070 0.584
0.832 0.322 0.201
0.832 0.573 0.585
0.833 0.320 0.701
0.901 0.569 0.835
0.901 0.571 0.335
0.901 0.821 0.451
0.902 0.071 0.334
0.902 0.322 0.450
0.902 0.820 0.952
0.904 0.069 0.833
0.905 0.316 0.953
```



What should be chosen as the most stable of them? Choose *w*.



*w*
Below is an optimized crystal structure of HfCdPO, with properties calculated at the PBE level.

Geometry as POSCAR:
```
HfCdPO
1.0
3.687 0.000 0.000
0.000 3.687 0.000
0.000 0.000 9.491
Hf Cd P O
2 2 2 2
direct
0.250 0.250 0.126
0.750 0.750 0.874
0.250 0.750 0.500
0.750 0.250 0.500
0.250 0.250 0.744
0.750 0.750 0.256
0.250 0.750 0.000
0.750 0.250 0.000
```



*x*
Below is an optimized crystal structure of HfCdPO, with properties calculated at the PBE level.

Geometry as POSCAR:
```
HfCdPO
1.0
3.572 0.000 0.000
0.000 6.360 0.000
0.000 0.000 6.291
Hf Cd P O
2 2 2 2
direct
0.000 0.030 0.000
0.000 0.970 0.500
0.500 0.436 0.396
0.500 0.564 0.896
0.500 0.195 0.736
0.500 0.805 0.236
0.000 0.211 0.270
0.000 0.789 0.770
```



What should be chosen as the most stable of them? Choose *x*.